4
Lattice="4.397 0.000 0.000 0.000 4.670 0.000 0.000 0.000 4.670" Properties=species:S:1:pos:R:3 comment="TeRuBr2, relaxed, DFT GGA-PBE" dft_energy_ev_per_atom=-2.933 formation_energy_uncorrected_ev_per_atom=1.008 crystal_system=tetragonal pbc="T T T"
Ru 2.198 2.335 0.000
Te 2.198 0.000 2.335
Br 0.000 0.000 0.000
Br 0.000 2.335 2.335

=====

4
Lattice="-1.148 -1.414 7.020 -1.190 -4.559 5.514 1.850 -3.049 6.315" Properties=species:S:1:pos:R:3 comment="Sc2PRu, relaxed, DFT GGA-PBE" dft_energy_ev_per_atom=-7.487 formation_energy_mev_per_atom=-650 crystal_system=trigonal pbc="T T T"
Sc -0.368 -6.814 14.238
Sc -0.119 -2.207 4.611
P -0.244 -4.511 9.425
Ru 0.000 0.000 0.000

=====

4
Lattice="10.197 0.067 0.039 9.721 3.080 0.039 9.721 1.536 2.670" Properties=species:S:1:pos:R:3 comment="MoOsBr2, relaxed, DFT GGA-PBE" dft_energy_ev_per_atom=-5.933 de_polymorph_mev_per_atom=244 formation_energy_uncorrected_ev_per_atom=0.419 crystal_system=trigonal pbc="T T T"
Mo 14.632 2.312 1.357
Os 22.574 3.567 2.094
Br 0.533 0.084 0.049
Br 6.719 1.062 0.623

=====

7
Lattice="9.615 -0.008 0.000 8.587 4.325 0.000 -9.101 -2.158 2.227" Properties=species:S:1:pos:R:3 comment="Al3Cu4, relaxed, DFT GGA-PBE" dft_energy_ev_per_atom=-4.113 formation_energy_mev_per_atom=-169 de_polymorph_mev_per_atom=22 crystal_system=tetragonal pbc="T T T"
Al 0.000 0.000 0.000
Al 12.870 3.052 0.000
Al 5.333 1.265 0.000
Cu 15.597 3.699 0.000
Cu 2.606 0.618 0.000
Cu 10.383 2.462 0.000
Cu 7.820 1.855 0.000